Record 1
Material: Na3PdCl6
Method: DFT, PBE-GGA
State: optimized geometry

Cell: 6.7003 7.0292 10.1839 Å, 90.00 94.51 90.00°
Closest atoms and distances in Å follow each position.
Fractional positions:
1 Na 0.0214 0.5907 0.2386  6 Cl 2.79-3.12
2 Cl 0.8671 0.9592 0.2362  1 Pd 2.65, 3 Na 2.78-2.79
3 Na 0.9786 0.4093 0.7614  6 Cl 2.79-3.12
4 Cl 0.3370 0.7879 0.4351  1 Pd 2.37
5 Cl 0.7872 0.6726 0.5773  1 Pd 2.36
6 Cl 0.8370 0.7121 0.9351  1 Pd 2.37
7 Pd 0.5000 0.5000 0.5000  4 Cl 2.36-2.37
8 Na 0.5000 0.5000 0.0000  6 Cl 2.78-2.85
9 Cl 0.7128 0.1726 0.9227  1 Pd 2.36
10 Pd 0.0000 0.0000 0.0000  4 Cl 2.36-2.37
11 Cl 0.6329 0.4592 0.2638  1 Pd 2.65, 3 Na 2.78-2.79
12 Cl 0.1630 0.2879 0.0649  1 Pd 2.37
13 Cl 0.1329 0.0408 0.7638  1 Pd 2.65, 3 Na 2.78-2.79
14 Na 0.4786 0.0907 0.2614  6 Cl 2.79-3.12
15 Cl 0.6630 0.2121 0.5649  1 Pd 2.37
16 Cl 0.3671 0.5408 0.7362  1 Pd 2.65, 3 Na 2.78-2.79
17 Na 0.0000 0.0000 0.5000  6 Cl 2.78-2.85
18 Cl 0.2872 0.8274 0.0773  1 Pd 2.36
19 Cl 0.2128 0.3274 0.4227  1 Pd 2.36
20 Na 0.5214 0.9093 0.7386  6 Cl 2.79-3.12

Properties
Magnetic moment (μB/f.u.): 1.008
Uncorrected formation energy (eV/f.u.): -12.05
Relative energy among the computed polymorphs (meV/atom): 4

Record 2
Material: CrCd2Ni
Method: DFT, PBE-GGA
State: optimized geometry

Cell: 4.9895 4.9895 4.9895 Å, 131.93 131.93 70.35°
Closest atoms and distances in Å follow each position.
Fractional positions:
1 Cr 0.5000 0.5000 0.0000  8 Cd 2.87-2.88, 4 Ni 2.88
2 Cd 0.0000 0.0000 0.0000  4 Cr 2.87, 4 Cd 2.88, 4 Ni 2.88
3 Cd 0.2500 0.7500 0.5000  4 Ni 2.87, 4 Cd 2.88, 4 Cr 2.88
4 Ni 0.7500 0.2500 0.5000  8 Cd 2.87-2.88, 4 Cr 2.88

Properties
Formation energy from the elements (meV/atom): 292
Magnetic moment (μB/f.u.): 4.039
Relative energy among the computed polymorphs (meV/atom): 85

Record 3
Material: TlBi2Rh2
Method: DFT, PBE-GGA
State: optimized geometry

Cell: 4.8503 4.8503 6.3212 Å, 67.44 67.44 90.00°
Closest atoms and distances in Å follow each position.
Fractional positions:
1 Bi 0.2500 0.7500 0.5000  4 Rh 2.79
2 Tl 0.0000 0.0000 0.0000  8 Bi 3.60, 8 Rh 3.66
3 Bi 0.7500 0.2500 0.5000  4 Rh 2.79
4 Rh 0.6205 0.6205 0.7589  1 Rh 2.56, 4 Bi 2.79
5 Rh 0.3795 0.3795 0.2411  1 Rh 2.56, 4 Bi 2.79

Properties
Formation energy from the elements (meV/atom): 125
Magnetic moment (μB/f.u.): 0.000
Relative energy among the computed polymorphs (meV/atom): 202

Record 4
Material: NpNi2H6
Method: DFT, PBE-GGA
State: optimized geometry

Cell: 4.1641 4.3589 4.3589 Å, 120.00 90.00 90.00°
Closest atoms and distances in Å follow each position.
Fractional positions:
1 H 0.2427 0.5001 0.5001  2 Ni 1.65
2 Ni 0.5000 0.6667 0.3333  6 H 1.65
3 Np 0.0000 0.0000 0.0000  12 H 2.40
4 H 0.7573 0.5001 0.0000  2 Ni 1.65
5 H 0.2427 0.0000 0.4999  2 Ni 1.65
6 H 0.7573 0.4999 0.4999  2 Ni 1.65
7 H 0.7573 0.0000 0.5001  2 Ni 1.65
8 H 0.2427 0.4999 0.0000  2 Ni 1.65
9 Ni 0.5000 0.3333 0.6667  6 H 1.65

Properties
Magnetic moment (μB/f.u.): 3.656
Energy (eV per atom): -5.15

> What is the formula in the third record?

TlBi2Rh2

Repeat the second record exactly.
Material: CrCd2Ni
Method: DFT, PBE-GGA
State: optimized geometry

Cell: 4.9895 4.9895 4.9895 Å, 131.93 131.93 70.35°
Closest atoms and distances in Å follow each position.
Fractional positions:
1 Cr 0.5000 0.5000 0.0000  8 Cd 2.87-2.88, 4 Ni 2.88
2 Cd 0.0000 0.0000 0.0000  4 Cr 2.87, 4 Cd 2.88, 4 Ni 2.88
3 Cd 0.2500 0.7500 0.5000  4 Ni 2.87, 4 Cd 2.88, 4 Cr 2.88
4 Ni 0.7500 0.2500 0.5000  8 Cd 2.87-2.88, 4 Cr 2.88

Properties
Formation energy from the elements (meV/atom): 292
Magnetic moment (μB/f.u.): 4.039
Relative energy among the computed polymorphs (meV/atom): 85